Entry 1:
{
  "formula": "BeNb2ZnO",
  "functional": "PBE-GGA",
  "state": "relaxed",
  "lattice_angstrom": [[4.896, 0.000, 0.000], [0.000, 4.896, 0.000], [0.000, 0.000, 2.968]],
  "species": ["Be", "Nb", "Nb", "Zn", "O"],
  "fractional_positions": [[0.000, 0.000, 0.000], [0.000, 0.500, 0.000], [0.500, 0.000, 0.000], [0.500, 0.500, 0.500], [0.000, 0.000, 0.500]]
}

***

Entry 2:
{
  "formula": "ZrBeNb2O",
  "functional": "PBE-GGA",
  "state": "relaxed",
  "lattice_angstrom": [[5.160, 0.000, 0.000], [0.000, 5.160, 0.000], [0.000, 0.000, 3.943]],
  "species": ["Zr", "Be", "Nb", "Nb", "O"],
  "fractional_positions": [[0.000, 0.000, 0.000], [0.500, 0.500, 0.500], [0.000, 0.500, 0.000], [0.500, 0.000, 0.000], [0.000, 0.000, 0.500]]
}

***

Which raw formation energy belongs to each record? In order, 0.080 1.059 eV/atom.
Which DOS at the Fermi energy belongs to each record? In order, 2.655 5.271 states/eV/cell.
Which size of the total moment belongs to each record? In order, 0.00 0.00 μB per cell.